# 1
Material: ZrSbCl2
Method: DFT, PBE
State: relaxed

Computed properties:
Excess energy over the best structure of this formula in the dataset (meV/atom): 326
Formation energy (no corrections) (meV per atom): -749.5
Total moment (μB per cell): 0.00

Unit cell a=3.526 b=3.526 c=8.220 alpha=90.00 beta=90.00 gamma=90.00
Element x y z (fractional)
Zr 0.000 0.000 0.000
Sb 0.500 0.500 0.722
Cl 0.000 0.000 0.304
Cl 0.500 0.500 0.113

***

# 2
Material: BeCo2H
Method: DFT, PBE
State: relaxed

Computed properties:
Excess energy over the best structure of this formula in the dataset (meV/atom): 201
Total moment (μB per cell): 1.75

Unit cell a=2.460 b=2.460 c=5.189 alpha=90.00 beta=90.00 gamma=90.00
Element x y z (fractional)
Be 0.000 0.000 0.000
Co 0.500 0.500 0.280
Co 0.500 0.500 0.720
H 0.000 0.000 0.500

***

# 3
Material: TbGeIr
Method: DFT, PBE
State: relaxed

Computed properties:
Total moment (μB per cell): 0.00
ΔH_f (0 K) (meV/atom): -539.5

Unit cell a=5.937 b=5.937 c=5.937 alpha=148.53 beta=148.53 gamma=45.11
Element x y z (fractional)
Tb 0.000 0.000 0.000
Ge 0.699 0.699 0.000
Ir 0.318 0.318 0.000

***

- The highest total moment belongs to which entry?
  BeCo2H

***

- Among the records above, which one has the highest total moment?
  BeCo2H